[1]
# SrCo2P

SrCo2P after structural relaxation (GGA-PBE, the Alexandria database).

Calculated values
- Energy of formation: -416 meV per atom
- Crystal system: trigonal
- Space group: R3m, No. 160

abc: 3.9635 3.9635 15.9807
angles: 90.00 90.00 120.00
With the nearest neighbours (Å) after each atom.
Atoms (fractional coordinates):
Sr 0.0000 0.0000 0.0000  4 Co 3.02-3.25, 4 P 3.09-3.20
Sr 0.3333 0.6667 0.6667  4 Co 3.02-3.25, 4 P 3.09-3.20
Sr 0.6667 0.3333 0.3333  4 Co 3.02-3.25, 4 P 3.09-3.20
Co 0.0000 0.0000 0.1891  3 Co 2.32, 3 P 2.42
Co 0.0000 0.0000 0.4976  3 P 2.32, 3 Co 2.32
Co 0.3333 0.6667 0.1643  3 P 2.32, 3 Co 2.32
Co 0.3333 0.6667 0.8557  3 Co 2.32, 3 P 2.42
Co 0.6667 0.3333 0.5224  3 Co 2.32, 3 P 2.42
Co 0.6667 0.3333 0.8310  3 P 2.32, 3 Co 2.32
P 0.0000 0.0000 0.8068  6 Co 2.32-2.42
P 0.3333 0.6667 0.4735  6 Co 2.32-2.42
P 0.6667 0.3333 0.1402  6 Co 2.32-2.42

=====

[2]
# Ta3MoS

Ta3MoS after structural relaxation (GGA-PBE, the Alexandria database).

Calculated values
- Energy relative to the elements, uncorrected: 219 kJ/mol of formula units
- Crystal system: cubic
- Space group: Pm-3m, No. 221

abc: 4.5173 4.5173 4.5173
angles: 90.00 90.00 90.00
With the nearest neighbours (Å) after each atom.
Atoms (fractional coordinates):
Ta 0.0000 0.0000 0.5000  2 S 2.26
Ta 0.0000 0.5000 0.0000  2 S 2.26
Ta 0.5000 0.0000 0.0000  2 S 2.26
Mo 0.5000 0.5000 0.5000  12 Ta 3.19
S 0.0000 0.0000 0.0000  6 Ta 2.26

=====

[3]
# ZrOsSe2

ZrOsSe2 after structural relaxation (GGA-PBE, the Alexandria database).

Calculated values
- Energy relative to the elements, uncorrected: 11 kJ/mol of formula units
- Crystal system: tetragonal
- Space group: I-42d, No. 122

abc: 5.8089 5.8089 11.4562
angles: 90.00 90.00 90.00
With the nearest neighbours (Å) after each atom.
Atoms (fractional coordinates):
Zr 0.0000 0.0000 0.0000  4 Se 2.62
Zr 0.0000 0.5000 0.2500  4 Se 2.62
Zr 0.5000 0.0000 0.7500  4 Se 2.62
Zr 0.5000 0.5000 0.5000  4 Se 2.62
Os 0.0000 0.0000 0.5000  4 Se 2.40
Os 0.0000 0.5000 0.7500  4 Se 2.40
Os 0.5000 0.0000 0.2500  4 Se 2.40
Os 0.5000 0.5000 0.0000  4 Se 2.40
Se 0.2172 0.2500 0.6250  2 Os 2.40, 2 Zr 2.62
Se 0.2500 0.7172 0.8750  2 Os 2.40, 2 Zr 2.62
Se 0.2500 0.7828 0.3750  2 Os 2.40, 2 Zr 2.62
Se 0.2828 0.2500 0.1250  2 Os 2.40, 2 Zr 2.62
Se 0.7172 0.7500 0.1250  2 Os 2.40, 2 Zr 2.62
Se 0.7500 0.2172 0.3750  2 Os 2.40, 2 Zr 2.62
Se 0.7500 0.2828 0.8750  2 Os 2.40, 2 Zr 2.62
Se 0.7828 0.7500 0.6250  2 Os 2.40, 2 Zr 2.62

=====

[4]
# Sc3AlNi8

Sc3AlNi8 after structural relaxation (GGA-PBE, the Alexandria database).

Calculated values
- Energy of formation: -507 meV per atom
- Crystal system: trigonal
- Space group: R3m, No. 160

abc: 8.4012 8.4012 8.4012
angles: 33.45 33.45 33.45
With the nearest neighbours (Å) after each atom.
Atoms (fractional coordinates):
Sc 0.0000 0.0000 0.0000  12 Ni 2.84-2.87, 4 Sc 3.01-3.03
Sc 0.1275 0.1275 0.1275  12 Ni 2.76-2.87, 3 Al 2.91, 1 Sc 3.03
Sc 0.6189 0.6189 0.6189  12 Ni 2.78-2.97, 1 Al 2.92, 3 Sc 3.01
Al 0.4959 0.4959 0.4959  12 Ni 2.76-2.87, 4 Sc 2.91-2.92
Ni 0.0605 0.0605 0.5617  6 Ni 2.40-2.45
Ni 0.0605 0.5617 0.0605  6 Ni 2.40-2.45
Ni 0.0640 0.5615 0.5615  6 Ni 2.41-2.43
Ni 0.3119 0.3119 0.3119  6 Ni 2.43-2.45
Ni 0.5615 0.0640 0.5615  6 Ni 2.41-2.43
Ni 0.5615 0.5615 0.0640  6 Ni 2.41-2.43
Ni 0.5617 0.0605 0.0605  6 Ni 2.40-2.45
Ni 0.8119 0.8119 0.8119  6 Ni 2.40-2.42